<1>
Rb2NpCl7: optimized geometry, PBE-GGA.

Properties
Space-group type   C2/c, No. 15

Cell lengths 8.753, 9.797, 10.404 Å; angles 74.83, 65.12, 63.47 degrees
Site moments in Bohr magnetons follow the coordinates.
Positions (direct):
Rb 0.628 0.906 0.704  0.00
Rb 0.762 0.406 0.204  0.00
Rb 0.238 0.594 0.796  0.00
Rb 0.372 0.094 0.296  0.00
Np 0.878 0.250 0.750  2.42
Np 0.122 0.750 0.250  2.42
Cl 0.654 0.536 0.781  -0.05
Cl 0.028 0.036 0.281  -0.05
Cl 0.240 0.841 0.988  -0.07
Cl 0.248 0.133 0.634  -0.04
Cl 0.577 0.250 0.750  -0.05
Cl 0.931 0.341 0.488  -0.07
Cl 0.015 0.367 0.866  -0.04
Cl 0.985 0.633 0.134  -0.04
Cl 0.069 0.659 0.512  -0.07
Cl 0.423 0.750 0.250  -0.05
Cl 0.752 0.867 0.366  -0.04
Cl 0.760 0.159 0.012  -0.07
Cl 0.972 0.964 0.719  -0.05
Cl 0.346 0.464 0.219  -0.05



<2>
Rb2NpCl7: optimized geometry, PBE-GGA.

Properties
Space-group type   Fm-3m, No. 225

Cell lengths 8.096, 8.096, 8.096 Å; angles 60.00, 60.00, 60.00 degrees
Site moments in Bohr magnetons follow the coordinates.
Positions (direct):
Rb 0.250 0.250 0.250  0.00
Rb 0.750 0.750 0.750  0.00
Np 0.000 0.000 0.000  2.65
Cl 0.500 0.500 0.500  -0.27
Cl 0.223 0.777 0.777  -0.06
Cl 0.223 0.777 0.223  -0.06
Cl 0.777 0.223 0.777  -0.06
Cl 0.777 0.777 0.223  -0.06
Cl 0.223 0.223 0.777  -0.06
Cl 0.777 0.223 0.223  -0.06



The structure with the least stability is <2>.



<1>
NpS2Cl: optimized geometry, PBE-GGA.

Properties
Space-group type   R-3m, No. 166

Cell lengths 4.229, 4.229, 6.692 Å; angles 71.58, 71.58, 60.00 degrees
Site moments in Bohr magnetons follow the coordinates.
Positions (direct):
Np 0.000 0.000 0.000  2.76
S 0.277 0.277 0.168  -0.22
S 0.723 0.723 0.832  -0.22
Cl 0.500 0.500 0.500  -0.21



<2>
NpS2Cl: optimized geometry, PBE-GGA.

Properties
Space-group type   Cm, No. 8

Cell lengths 5.201, 5.201, 7.529 Å; angles 89.93, 89.93, 40.79 degrees
Site moments in Bohr magnetons follow the coordinates.
Positions (direct):
Np 0.144 0.144 0.432  2.80
S 0.568 0.568 0.212  -0.27
S 0.845 0.845 0.440  -0.27
Cl 0.573 0.573 0.688  -0.07



The structure with the least stability is <1>.